Record 1
Computed, not measured: an optimized crystal structure of Mg2CoIr at the PBE level of DFT.

The space group is I-42d (No. 122) and the conventional cell measures 7.029, 7.029 and 5.261 Å, with angles of 90.00, 90.00 and 90.00 degrees. The distinct sites, in fractional coordinates, are Mg at (0.239, 0.250, 0.125), Co at (0.000, 0.000, 0.000) and Ir at (0.000, 0.000, 0.500).

The calculation puts the electronic total energy at -17.69 eV per formula unit. The crystal system is tetragonal. As for the energy relative to the lowest polymorph listed for this composition: 1.85 eV per formula unit. Its formation energy is 366 meV/atom. The spin magnetization is 0.485 μB/atom.

=====

Record 2
Computed, not measured: an optimized crystal structure of Li2TaSi at the PBE level of DFT.

The space group is Pmmm (No. 47) and the conventional cell measures 2.767, 4.316 and 5.206 Å, with angles of 90.00, 90.00 and 90.00 degrees. The distinct sites, in fractional coordinates, are Li at (0.000, 0.000, 0.235), Ta at (0.500, 0.500, 0.500) and Si at (0.500, 0.500, 0.000).

The calculation puts the electronic total energy at -20.41 eV per formula unit. The crystal system is orthorhombic. Its uncorrected formation energy is 0.70 eV per formula unit. The spin magnetization is 0.000 μB/atom.

=====

Record 3
Computed, not measured: an optimized crystal structure of HfCuBi at the PBE level of DFT.

The space group is P2_1/m (No. 11) and the conventional cell measures 3.288, 4.186 and 10.180 Å, with angles of 90.00, 90.08 and 90.00 degrees. The distinct sites, in fractional coordinates, are Hf at (0.001, 0.250, 0.154), Cu at (0.500, 0.250, 0.937) and Bi at (0.499, 0.250, 0.667).

The calculation puts the electronic total energy at -18.35 eV per formula unit. The crystal system is monoclinic. Its formation energy is -141 meV/atom. The spin magnetization is 0.000 μB/atom.

=====

Record 4
Computed, not measured: an optimized crystal structure of Pm4Pa at the PBE level of DFT.

The space group is Pm-3m (No. 221) and the conventional cell measures 5.736, 5.736 and 5.736 Å, with angles of 90.00, 90.00 and 90.00 degrees. The distinct sites, in fractional coordinates, are Pm at (0.000, 0.000, 0.000), Pm at (0.000, 0.500, 0.500) and Pa at (0.500, 0.500, 0.500).

The calculation puts the electronic total energy at -24.93 eV per formula unit. The crystal system is cubic. Its formation energy is 713 meV/atom. The spin magnetization is 0.001 μB/atom.

=====

Record 5
Computed, not measured: an optimized crystal structure of CuPPd2 at the PBE level of DFT.

The space group is R3m (No. 160, hexagonal axes) and the conventional cell measures 2.9276, 2.9276 and 23.3333 Å, with angles of 90.00, 90.00 and 120.00 degrees. The distinct sites, in fractional coordinates, are Cu at (0.0000, 0.0000, 0.0000), P at (0.0000, 0.0000, 0.8330), Pd at (0.0000, 0.0000, 0.2434) and Pd at (0.0000, 0.0000, 0.4230).

The calculation puts the electronic total energy at -20.42 eV per formula unit. The crystal system is trigonal. Its formation energy is -132 meV/atom. The spin magnetization is 0.000 μB/atom.

=====

Record 6
Computed, not measured: an optimized crystal structure of PuNpO3 at the PBE level of DFT.

The space group is P-6m2 (No. 187) and the conventional cell measures 6.1086, 6.1086 and 3.1270 Å, with angles of 90.00, 90.00 and 120.00 degrees. The distinct sites, in fractional coordinates, are Pu at (0.0000, 0.0000, 0.0000), Np at (0.6667, 0.3333, 0.0000) and O at (0.3389, 0.1695, 0.5000).

The calculation puts the electronic total energy at -55.66 eV per formula unit. The crystal system is hexagonal. Its uncorrected formation energy is -13.52 eV per formula unit. The spin magnetization is 1.783 μB/atom.

=====

Record 7
Computed, not measured: an optimized crystal structure of TaP3Au at the PBE level of DFT.

The space group is Pm-3m (No. 221) and the conventional cell measures 4.793, 4.793 and 4.793 Å, with angles of 90.00, 90.00 and 90.00 degrees. The distinct sites, in fractional coordinates, are Ta at (0.000, 0.000, 0.000), P at (0.000, 0.000, 0.500) and Au at (0.500, 0.500, 0.500).

The calculation puts the electronic total energy at -28.49 eV per formula unit. The crystal system is cubic. As for the energy relative to the lowest polymorph listed for this composition: 0.00 eV per formula unit. Its formation energy is 573 meV/atom. The spin magnetization is 0.000 μB/atom.

=====

Record 8
Computed, not measured: an optimized crystal structure of CeErH at the PBE level of DFT.

The space group is I4mm (No. 107) and the conventional cell measures 3.356, 3.356 and 11.947 Å, with angles of 90.00, 90.00 and 90.00 degrees. The distinct sites, in fractional coordinates, are Ce at (0.000, 0.000, 0.000), Er at (0.000, 0.000, 0.715) and H at (0.000, 0.000, 0.531).

The calculation puts the electronic total energy at -13.96 eV per formula unit. The crystal system is tetragonal. As for the energy relative to the lowest polymorph listed for this composition: 0.54 eV per formula unit. The spin magnetization is 0.334 μB/atom.

=====

Record 9
Computed, not measured: an optimized crystal structure of Li7TbTl4 at the PBE level of DFT.

The space group is C2/m (No. 12) and the conventional cell measures 11.099, 5.273 and 10.278 Å, with angles of 90.00, 121.32 and 90.00 degrees. The distinct sites, in fractional coordinates, are Li at (0.000, 0.000, 0.000), Li at (0.099, 0.500, 0.440), Li at (0.165, 0.000, 0.621), Li at (0.171, 0.000, 0.893), Tb at (0.000, 0.500, 0.000), Tl at (0.109, 0.000, 0.313) and Tl at (0.186, 0.500, 0.801).

The calculation puts the electronic total energy at -28.37 eV per formula unit. The crystal system is monoclinic. Its formation energy is -73 meV/atom. The spin magnetization is 0.000 μB/atom.

=====

Record 10
Computed, not measured: an optimized crystal structure of BiSbAu at the PBE level of DFT.

The space group is Pnma (No. 62) and the conventional cell measures 14.985, 4.345 and 5.208 Å, with angles of 90.00, 90.00 and 90.00 degrees. The distinct sites, in fractional coordinates, are Bi at (0.049, 0.250, 0.235), Sb at (0.189, 0.250, 0.795) and Au at (0.138, 0.750, 0.505).

The calculation puts the electronic total energy at -11.38 eV per formula unit. The crystal system is orthorhombic. Its uncorrected formation energy is -0.10 eV per formula unit. As for the energy relative to the lowest polymorph listed for this composition: 0.03 eV per formula unit. The spin magnetization is 0.000 μB/atom.

=====

Record 11
Computed, not measured: an optimized crystal structure of Hg2SbPd at the PBE level of DFT.

The space group is I-42d (No. 122) and the conventional cell measures 4.232, 4.232 and 20.477 Å, with angles of 90.00, 90.00 and 90.00 degrees. The distinct sites, in fractional coordinates, are Hg at (0.235, 0.250, 0.125), Sb at (0.000, 0.000, 0.500) and Pd at (0.000, 0.000, 0.000).

The calculation puts the electronic total energy at -9.78 eV per formula unit. The crystal system is tetragonal. Its uncorrected formation energy is 0.14 eV per formula unit. The spin magnetization is 0.000 μB/atom.

=====

Record 12
Computed, not measured: an optimized crystal structure of Rb2Ce3Se6 at the PBE level of DFT.

The space group is C2/m (No. 12) and the conventional cell measures 7.511, 13.008 and 8.483 Å, with angles of 90.00, 107.15 and 90.00 degrees. The distinct sites, in fractional coordinates, are Rb at (0.000, 0.167, 0.000), Ce at (0.000, 0.000, 0.500), Ce at (0.000, 0.334, 0.500), Se at (0.230, 0.168, 0.692) and Se at (0.233, 0.500, 0.692).

The calculation puts the electronic total energy at -59.33 eV per formula unit. The crystal system is monoclinic. Its uncorrected formation energy is -18.69 eV per formula unit. The spin magnetization is 0.183 μB/atom.